(1)
Density functional theory data (GGA-PBE) for a relaxed MgTa2Rh crystal.

Density of states at the Fermi level = 3.65 states/eV/cell
Calculated density = 11.80 g cm⁻³
ΔE_f = -0.04 eV per atom
Space-group type = Pm (6)

extended XYZ file:
```
4
Lattice="2.8600 0.0000 0.0000 0.0000 4.3504 0.0000 -1.4221 0.0000 5.5311" Properties=species:S:1:pos:R:3 pbc="T T T"
Mg 0.0000 0.0000 0.0000
Ta 0.1607 2.1752 4.0737
Ta 1.7234 0.0000 2.6234
Rh 0.9821 2.1752 1.2579
```


(2)
Density functional theory data (GGA-PBE) for a relaxed Mg2TaRh crystal.

ΔE to the lowest computed polymorph = 0.0 meV/atom
Density of states at the Fermi level = 0.66 states/eV/cell
Calculated density = 7.67 g cm⁻³
ΔE_f = -0.22 eV per atom
Space-group type = P4mm (99)

extended XYZ file:
```
4
Lattice="3.1397 0.0000 0.0000 0.0000 3.1397 0.0000 0.0000 0.0000 7.3008" Properties=species:S:1:pos:R:3 pbc="T T T"
Mg 0.0000 0.0000 0.0000
Mg 1.5698 1.5698 2.1536
Ta 1.5698 1.5698 5.3330
Rh 0.0000 0.0000 3.8430
```


(3)
Density functional theory data (GGA-PBE) for a relaxed MgTaTcRh crystal.

Density of states at the Fermi level = 3.46 states/eV/cell
Calculated density = 10.78 g cm⁻³
ΔE_f = -0.33 eV per atom
Space-group type = F-43m (216)

extended XYZ file:
```
4
Lattice="0.0000 3.1513 3.1513 3.1513 0.0000 3.1513 3.1513 3.1513 0.0000" Properties=species:S:1:pos:R:3 pbc="T T T"
Mg 0.0000 0.0000 0.0000
Ta 3.1513 3.1513 3.1513
Tc 1.5756 1.5756 1.5756
Rh 4.7269 4.7269 4.7269
```


(4)
Density functional theory data (GGA-PBE) for a relaxed Tb3Mg2Rh3 crystal.

Density of states at the Fermi level = 8.43 states/eV/cell
Calculated density = 8.20 g cm⁻³
ΔE_f = -0.67 eV per atom
Space-group type = P6_3/mcm (193)

extended XYZ file:
```
16
Lattice="8.2083 0.0000 0.0000 -4.1041 7.1086 0.0000 0.0000 0.0000 5.7929" Properties=species:S:1:pos:R:3 pbc="T T T"
Tb -1.1105 1.9235 1.4482
Tb -2.9936 5.1851 4.3447
Tb 2.2210 0.0000 1.4482
Tb 1.1105 1.9235 4.3447
Tb 5.9873 0.0000 4.3447
Tb 2.9936 5.1851 1.4482
Mg 0.0000 4.7391 0.0000
Mg 0.0000 4.7391 2.8965
Mg 4.1041 2.3695 0.0000
Mg 4.1041 2.3695 2.8965
Rh -1.6006 2.7724 4.3447
Rh -2.5035 4.3362 1.4482
Rh 3.2012 0.0000 4.3447
Rh 1.6006 2.7724 1.4482
Rh 5.0070 0.0000 1.4482
Rh 2.5035 4.3362 4.3447
```


(5)
Density functional theory data (GGA-PBE) for a relaxed Tb2MgRh4 crystal.

Density of states at the Fermi level = 3.52 states/eV/cell
Calculated density = 9.31 g cm⁻³
ΔE_f = -0.41 eV per atom
Space-group type = R-3m (166)

extended XYZ file:
```
7
Lattice="2.2750 1.3135 7.4998 -2.2750 1.3135 7.4998 0.0000 -2.6269 7.4998" Properties=species:S:1:pos:R:3 pbc="T T T"
Tb 0.0000 0.0000 5.4884
Tb 0.0000 0.0000 17.0110
Mg 0.0000 0.0000 0.0000
Rh 0.0000 0.0000 2.7330
Rh 0.0000 0.0000 8.3818
Rh 0.0000 0.0000 14.1176
Rh 0.0000 0.0000 19.7665
```


(6)
Density functional theory data (GGA-PBE) for a relaxed Tb2MgRh2 crystal.

Density of states at the Fermi level = 4.55 states/eV/cell
Calculated density = 8.52 g cm⁻³
ΔE_f = -0.71 eV per atom
Space-group type = C2/c (15)

extended XYZ file:
```
10
Lattice="5.1719 -2.7260 0.0000 5.1719 2.7260 0.0000 -2.4679 0.0000 7.5746" Properties=species:S:1:pos:R:3 pbc="T T T"
Tb 1.5479 1.9125 6.4416
Tb 5.0942 1.9125 4.9204
Tb 2.7818 -1.9125 2.6542
Tb 6.3281 -1.9125 1.1331
Mg 4.5550 0.7561 1.8937
Mg 3.3210 -0.7561 5.6810
Rh 2.5706 0.8203 3.6789
Rh 6.5394 0.8203 0.1084
Rh 1.3366 -0.8203 7.4663
Rh 5.3055 -0.8203 3.8957
```


(7)
Density functional theory data (GGA-PBE) for a relaxed TbMg2Rh3 crystal.

ΔE to the lowest computed polymorph = 10.9 meV/atom
Density of states at the Fermi level = 4.68 states/eV/cell
Calculated density = 8.45 g cm⁻³
ΔE_f = -0.63 eV per atom
Space-group type = P-3m1 (164)

extended XYZ file:
```
12
Lattice="4.5632 0.0000 0.0000 -2.2816 3.9518 0.0000 0.0000 0.0000 11.2561" Properties=species:S:1:pos:R:3 pbc="T T T"
Tb 0.0000 2.6345 1.9431
Tb 2.2816 1.3173 9.3130
Mg 0.0000 0.0000 0.0000
Mg 0.0000 0.0000 5.6281
Mg 0.0000 2.6345 7.3848
Mg 2.2816 1.3173 3.8713
Rh 0.0000 0.0000 2.9078
Rh 0.0000 0.0000 8.3483
Rh 0.0000 2.6345 4.7370
Rh 0.0000 2.6345 10.3147
Rh 2.2816 1.3173 0.9415
Rh 2.2816 1.3173 6.5191
```


(8)
Density functional theory data (GGA-PBE) for a relaxed Tb3Mg5Rh2 crystal.

Density of states at the Fermi level = 11.89 states/eV/cell
Calculated density = 5.62 g cm⁻³
ΔE_f = -0.26 eV per atom
Space-group type = Ibam (72)

extended XYZ file:
```
20
Lattice="-5.9529 6.4560 3.0935 5.9529 -6.4560 3.0935 5.9529 6.4560 -3.0935" Properties=species:S:1:pos:R:3 pbc="T T T"
Tb 2.8616 2.1984 0.0000
Tb 0.0000 0.0000 1.5467
Tb 2.8616 -2.1984 3.0935
Tb 3.0913 8.6544 0.0000
Tb 0.0000 0.0000 4.6402
Tb 3.0913 4.2575 3.0935
Mg 5.9529 -2.9445 1.5467
Mg 8.1623 0.9642 0.0000
Mg 5.9529 0.0000 1.5467
Mg 2.2094 5.4918 0.0000
Mg 5.9529 2.9445 1.5467
Mg 0.0000 3.5114 1.5467
Mg 3.7435 0.9642 3.0935
Mg 0.0000 6.4560 1.5467
Mg -2.2094 5.4918 3.0935
Mg 0.0000 9.4005 1.5467
Rh 4.4976 -4.4959 3.0935
Rh 4.4976 4.4959 0.0000
Rh 1.4553 1.9600 3.0935
Rh 1.4553 10.9519 0.0000
```


(9)
Density functional theory data (GGA-PBE) for a relaxed Tb4MgRh2 crystal.

Density of states at the Fermi level = 9.79 states/eV/cell
Calculated density = 7.44 g cm⁻³
ΔE_f = -0.43 eV per atom
Space-group type = P1 (1)

extended XYZ file:
```
14
Lattice="7.3321 0.0000 0.0000 -0.6506 7.3117 0.0000 -2.0359 -2.2295 7.2063" Properties=species:S:1:pos:R:3 pbc="T T T"
Tb 0.0000 0.0000 0.0000
Tb -0.6149 3.8602 0.9885
Tb -1.4665 2.9537 4.6254
Tb 2.3396 -0.8893 4.5966
Tb 3.5461 0.4050 1.0240
Tb 2.9646 3.8482 2.0961
Tb 2.0122 2.6769 5.7031
Tb 5.7738 -0.6171 3.6061
Mg -0.1890 0.4627 6.4335
Mg 0.9541 1.4627 2.8345
Rh 1.5705 5.3660 0.0403
Rh 3.6426 1.4221 3.6462
Rh 3.6843 4.5975 4.6623
Rh 4.7273 5.6899 1.0634
```


(10)
Density functional theory data (GGA-PBE) for a relaxed Tb2Mg2Rh3 crystal.

Density of states at the Fermi level = 4.37 states/eV/cell
Calculated density = 8.01 g cm⁻³
ΔE_f = -0.59 eV per atom
Space-group type = Cmmm (65)

extended XYZ file:
```
7
Lattice="1.6727 -12.6922 0.0000 1.6727 12.6922 0.0000 0.0000 0.0000 3.2984" Properties=species:S:1:pos:R:3 pbc="T T T"
Tb 1.6727 10.8914 0.0000
Tb 1.6727 -10.8914 0.0000
Mg 1.6727 7.6974 0.0000
Mg 1.6727 -7.6974 0.0000
Rh 1.6727 3.5459 1.6492
Rh 1.6727 0.0000 1.6492
Rh 1.6727 -3.5459 1.6492
```


(11)
Density functional theory data (GGA-PBE) for a relaxed TbMg8Rh2 crystal.

Density of states at the Fermi level = 6.84 states/eV/cell
Calculated density = 3.80 g cm⁻³
ΔE_f = -0.14 eV per atom
Space-group type = C2/m (12)

extended XYZ file:
```
11
Lattice="3.9989 -6.0620 0.0000 3.9989 6.0620 0.0000 -1.2891 0.0000 5.0369" Properties=species:S:1:pos:R:3 pbc="T T T"
Tb 0.0000 0.0000 0.0000
Mg 0.8528 1.5787 2.9127
Mg 3.9989 2.8183 0.0000
Mg 0.8528 -1.5787 2.9127
Mg 3.0452 0.0000 1.1376
Mg 3.6634 0.0000 3.8993
Mg 5.8558 1.5787 2.1242
Mg 3.9989 -2.8183 0.0000
Mg 5.8558 -1.5787 2.1242
Rh 3.3543 2.3276 2.5185
Rh 3.3543 -2.3276 2.5185
```


(12)
Density functional theory data (GGA-PBE) for a relaxed Tb4MgRh crystal.

ΔE to the lowest computed polymorph = 308.3 meV/atom
Density of states at the Fermi level = 6.41 states/eV/cell
Calculated density = 6.82 g cm⁻³
ΔE_f = -0.09 eV per atom
Space-group type = C2/m (12)

extended XYZ file:
```
6
Lattice="3.4125 -3.4124 0.0000 3.4125 3.4124 0.0000 -0.0091 0.0000 7.9813" Properties=species:S:1:pos:R:3 pbc="T T T"
Tb 5.1136 -1.7089 1.6556
Tb 1.7023 1.7089 6.3257
Tb 5.1136 1.7089 1.6556
Tb 1.7023 -1.7089 6.3257
Mg -0.0045 0.0000 3.9907
Rh 3.4125 0.0000 0.0000
```